No. 1
Na3TbPr2Te6 after structural relaxation, computed with PBE.

The structure in extended XYZ format:
```
12
Lattice="3.925 -6.801 0.000 3.925 6.801 0.000 -2.622 0.000 7.575" Properties=species:S:1:pos:R:3 pbc="T T T"
Na 0.000 0.000 0.000
Na 3.925 2.299 0.000
Na 3.925 -2.299 0.000
Tb 2.615 0.000 3.787
Pr 2.615 4.539 3.787
Pr 2.615 -4.539 3.787
Te 1.340 2.213 1.984
Te 0.063 0.000 5.590
Te 1.340 -2.213 1.984
Te 3.890 2.213 5.591
Te 5.166 0.000 1.984
Te 3.890 -2.213 5.591
```

## Properties
ΔE_f (raw) in eV per atom: -1.325
Total magnetic moment in μB per cell: 0.0
Energy in eV per atom: -4.408

---

No. 2
Ho2NpAgO8 after structural relaxation, computed with PBE.

The structure in extended XYZ format:
```
12
Lattice="5.014 0.000 0.000 0.366 5.005 0.000 0.604 0.579 7.026" Properties=species:S:1:pos:R:3 pbc="T T T"
Ho 0.322 0.303 1.660
Ho 5.661 5.281 5.366
Np 2.992 2.792 3.513
Ag 2.690 2.502 0.000
O 1.298 3.996 0.002
O 1.613 4.252 3.517
O 1.958 1.808 4.754
O 1.972 1.832 1.788
O 4.011 3.752 5.239
O 4.026 3.775 2.272
O 4.371 1.331 3.510
O 4.685 1.587 7.024
```

## Properties
ΔE_f (raw) in eV per atom: -2.431
Total magnetic moment in μB per cell: 0.0
Energy in eV per atom: -7.815

---

No. 3
Pa2TiRuN5 after structural relaxation, computed with PBE.

The structure in extended XYZ format:
```
18
Lattice="1.623 -6.459 0.000 1.623 6.459 0.000 0.000 0.000 10.225" Properties=species:S:1:pos:R:3 pbc="T T T"
Pa 1.623 5.116 5.113
Pa 1.623 4.536 1.315
Pa 1.623 -4.536 6.427
Pa 1.623 -5.116 0.000
Ti 1.623 3.870 8.523
Ti 1.623 -3.870 3.410
Ru 1.623 0.409 2.858
Ru 1.623 -0.409 7.971
N 1.623 5.714 9.231
N 1.623 2.878 4.940
N 1.623 2.355 2.006
N 1.623 1.751 8.369
N 1.623 0.162 6.073
N 1.623 -0.162 0.960
N 1.623 -1.751 3.257
N 1.623 -2.355 7.119
N 1.623 -2.878 10.052
N 1.623 -5.714 4.118
```

## Properties
ΔE_f (raw) in eV per atom: -1.229
Density of states at the Fermi level in states/eV/cell: 5.23
Total magnetic moment in μB per cell: 0.0
Energy in eV per atom: -9.873

---

No. 4
ZrRuSe2 after structural relaxation, computed with PBE.

The structure in extended XYZ format:
```
4
Lattice="-1.923 1.923 4.801 1.923 -1.923 4.801 1.923 1.923 -4.801" Properties=species:S:1:pos:R:3 pbc="T T T"
Zr 0.000 0.000 0.000
Ru 1.923 0.000 2.401
Se 0.000 0.000 4.801
Se 0.000 1.923 2.401
```

## Properties
Polymorph energy (0 for the lowest one) in meV/atom: 410
ΔE_f (raw) in eV per atom: -0.293
Density of states at the Fermi level in states/eV/cell: 3.69
Total magnetic moment in μB per cell: 0.0
Energy in eV per atom: -6.491

---

No. 5
SiOsCl2 after structural relaxation, computed with PBE.

The structure in extended XYZ format:
```
4
Lattice="-1.520 2.198 5.714 1.520 -2.198 5.714 1.520 2.198 -5.714" Properties=species:S:1:pos:R:3 pbc="T T T"
Si 0.000 0.000 0.000
Os 0.000 2.198 3.930
Cl 1.520 0.000 3.899
Cl 0.000 0.000 7.284
```

## Properties
Polymorph energy (0 for the lowest one) in meV/atom: 721
ΔE_f (raw) in eV per atom: 0.523
Density of states at the Fermi level in states/eV/cell: 1.99
Total magnetic moment in μB per cell: 0.0
Energy in eV per atom: -4.563

---

No. 6
KBaS2O8 after structural relaxation, computed with PBE.

The structure in extended XYZ format:
```
12
Lattice="5.485 0.000 0.000 -2.743 4.750 0.000 0.000 0.000 8.675" Properties=species:S:1:pos:R:3 pbc="T T T"
K 0.000 0.000 0.000
Ba 0.000 0.000 4.338
S 0.000 3.167 2.591
S 2.743 1.583 6.084
O 0.000 1.766 2.085
O -1.213 3.867 2.085
O 0.000 3.167 4.082
O 1.530 0.883 6.590
O 1.213 3.867 2.085
O 2.743 1.583 4.593
O 3.955 0.883 6.590
O 2.743 2.984 6.590
```

## Properties
ΔE_f (raw) in eV per atom: -1.814
Density of states at the Fermi level in states/eV/cell: 10.51
Total magnetic moment in μB per cell: 1.1
Energy in eV per atom: -6.059

---

No. 7
LiCdRu2 after structural relaxation, computed with PBE.

The structure in extended XYZ format:
```
4
Lattice="1.415 -2.316 0.000 1.415 2.316 0.000 0.000 0.000 9.413" Properties=species:S:1:pos:R:3 pbc="T T T"
Li 0.000 0.000 0.000
Cd 0.000 0.000 4.707
Ru 1.415 0.000 2.255
Ru 1.415 0.000 7.158
```

## Properties
Formation energy from the elements in eV per atom: 0.41
Density of states at the Fermi level in states/eV/cell: 4.00
Total magnetic moment in μB per cell: 0.0
Energy in eV per atom: -4.933

---

No. 8
Mg12GaPb3 after structural relaxation, computed with PBE.

The structure in extended XYZ format:
```
16
Lattice="4.487 0.000 0.000 0.000 4.487 0.000 0.000 0.000 18.260" Properties=species:S:1:pos:R:3 pbc="T T T"
Mg 0.000 0.000 0.000
Mg 0.000 0.000 4.458
Mg 0.000 0.000 9.130
Mg 0.000 0.000 13.802
Mg 0.000 2.244 2.100
Mg 0.000 2.244 6.796
Mg 0.000 2.244 11.464
Mg 0.000 2.244 16.160
Mg 2.244 0.000 2.100
Mg 2.244 0.000 6.796
Mg 2.244 0.000 11.464
Mg 2.244 0.000 16.160
Ga 2.244 2.244 0.000
Pb 2.244 2.244 4.470
Pb 2.244 2.244 9.130
Pb 2.244 2.244 13.790
```

## Properties
Formation energy from the elements in eV per atom: -0.06
Density of states at the Fermi level in states/eV/cell: 5.10
Total magnetic moment in μB per cell: 0.0
Energy in eV per atom: -2.142

---

No. 9
MgInGe after structural relaxation, computed with PBE.

The structure in extended XYZ format:
```
3
Lattice="0.000 3.341 3.341 3.341 0.000 3.341 3.341 3.341 0.000" Properties=species:S:1:pos:R:3 pbc="T T T"
Mg 0.000 0.000 0.000
In 3.341 3.341 3.341
Ge 1.671 1.671 1.671
```

## Properties
Formation energy from the elements in eV per atom: 0.01
Density of states at the Fermi level in states/eV/cell: 2.02
Total magnetic moment in μB per cell: 0.0
Energy in eV per atom: -2.976

---

No. 10
AlCdPt2 after structural relaxation, computed with PBE.

The structure in extended XYZ format:
```
4
Lattice="2.911 0.000 0.000 0.000 4.646 0.000 0.000 0.000 4.820" Properties=species:S:1:pos:R:3 pbc="T T T"
Al 0.000 0.000 0.000
Cd 0.000 2.323 2.767
Pt 1.455 0.000 2.257
Pt 1.455 2.323 0.328
```

## Properties
Formation energy from the elements in eV per atom: -0.57
Density of states at the Fermi level in states/eV/cell: 0.47
Total magnetic moment in μB per cell: 0.0
Energy in eV per atom: -4.760

---

No. 11
ErTh7 after structural relaxation, computed with PBE.

The structure in extended XYZ format:
```
8
Lattice="0.000 5.033 5.033 5.033 0.000 5.033 5.033 5.033 0.000" Properties=species:S:1:pos:R:3 pbc="T T T"
Er 0.000 0.000 0.000
Th 2.517 2.517 0.000
Th 2.517 0.000 2.517
Th 5.033 2.517 2.517
Th 0.000 2.517 2.517
Th 2.517 5.033 2.517
Th 2.517 2.517 5.033
Th 5.033 5.033 5.033
```

## Properties
Formation energy from the elements in eV per atom: 0.02
Density of states at the Fermi level in states/eV/cell: 9.50
Total magnetic moment in μB per cell: 0.0
Energy in eV per atom: -7.044

---

No. 12
PrTmLu after structural relaxation, computed with PBE.

The structure in extended XYZ format:
```
3
Lattice="5.646 0.000 0.000 -2.823 4.889 0.000 0.000 0.000 3.459" Properties=species:S:1:pos:R:3 pbc="T T T"
Pr 0.000 0.000 0.000
Tm 2.823 1.630 1.730
Lu 0.000 3.260 1.730
```

## Properties
Formation energy from the elements in eV per atom: 0.09
Polymorph energy (0 for the lowest one) in meV/atom: 54
Density of states at the Fermi level in states/eV/cell: 4.75
Total magnetic moment in μB per cell: 0.0
Energy in eV per atom: -4.503